*a*
DFT (PBE) results for a relaxed RbHf2Pb2 crystal.

Cell: 9.2424 9.2424 3.2519 Å, 90.00 90.00 90.00°
Space group P4/mbm (No. 127)
Unique sites:
1 Rb 0.0000 0.0000 0.0000 x2
2 Hf 0.1167 0.3833 0.0000 x4
3 Pb 0.1712 0.6712 0.5000 x4

- V: 27.8 A^3/atom

*b*
DFT (PBE) results for a relaxed RbHf2Pb2 crystal.

Cell: 5.5909 5.5909 10.6312 Å, 90.00 90.00 90.00°
Space group I4/mmm (No. 139)
Unique sites:
1 Rb 0.0000 0.0000 0.0000 x2
2 Hf 0.0000 0.0000 0.3416 x4
3 Pb 0.0000 0.5000 0.2500 x4

- V: 33.2 A^3/atom

*a* has the most favorable energy; the next structure is 27.9 kJ/mol of atoms above.

*a*
DFT (PBE) results for a relaxed RbHfPb2 crystal.

Cell: 6.5845 6.5845 18.2703 Å, 90.00 90.00 90.00°
Space group I-42d (No. 122)
Unique sites:
1 Rb 0.0000 0.0000 0.0000 x4
2 Hf 0.0000 0.0000 0.5000 x4
3 Pb 0.0533 0.2500 0.6250 x8

- V: 49.5 A^3/atom

*b*
DFT (PBE) results for a relaxed RbHfPb2 crystal.

Cell: 3.8876 3.8876 8.4894 Å, 90.00 90.00 90.00°
Space group P4/mmm (No. 123)
Unique sites:
1 Rb 0.0000 0.0000 0.0000 x1
2 Hf 0.0000 0.0000 0.5000 x1
3 Pb 0.5000 0.5000 0.3162 x2

- V: 32.1 A^3/atom

*b* has the most favorable energy; the next structure is 32.6 kJ/mol of atoms above.

*a*
DFT (PBE) results for a relaxed RbHfPb2 crystal.

Cell: 7.8412 7.8412 7.8412 Å, 90.00 90.00 90.00°
Space group Fm-3m (No. 225)
Unique sites:
1 Rb 0.0000 0.0000 0.0000 x4
2 Hf 0.0000 0.0000 0.5000 x4
3 Pb 0.2500 0.2500 0.2500 x8

- V: 30.1 A^3/atom

*b*
DFT (PBE) results for a relaxed RbHfPb2 crystal.

Cell: 3.4743 3.4743 36.3946 Å, 90.00 90.00 120.00°
Space group R-3m (No. 166, hexagonal axes)
Unique sites:
1 Rb 0.0000 0.0000 0.0000 x3
2 Hf 0.0000 0.0000 0.5000 x3
3 Pb 0.0000 0.0000 0.0973 x6

- V: 31.7 A^3/atom

*b* has the most favorable energy; the next structure is 24.9 kJ/mol of atoms above.

*a*
DFT (PBE) results for a relaxed Rb2Hf2Pb crystal.

Cell: 11.1638 11.1638 3.2169 Å, 90.00 90.00 90.00°
Space group P4/mbm (No. 127)
Unique sites:
1 Rb 0.2063 0.2937 0.0000 x4
2 Hf 0.0823 0.5823 0.5000 x4
3 Pb 0.0000 0.0000 0.5000 x2

- V: 40.1 A^3/atom

*b*
DFT (PBE) results for a relaxed Rb2Hf2Pb crystal.

Cell: 4.3875 4.3875 17.5724 Å, 90.00 90.00 90.00°
Space group I4/mmm (No. 139)
Unique sites:
1 Rb 0.0000 0.5000 0.2500 x4
2 Hf 0.0000 0.0000 0.0719 x4
3 Pb 0.0000 0.0000 0.5000 x2

- V: 33.8 A^3/atom

*b* has the most favorable energy; the next structure is 3.4 kJ/mol of atoms above.

*a*
DFT (PBE) results for a relaxed Hf3RePb crystal.

Cell: 5.0665 5.0665 5.0665 Å, 90.00 90.00 90.00°
Space group Pm-3m (No. 221)
Unique sites:
1 Hf 0.0000 0.0000 0.5000 x3
2 Re 0.0000 0.0000 0.0000 x1
3 Pb 0.5000 0.5000 0.5000 x1

- V: 26.0 A^3/atom

*b*
DFT (PBE) results for a relaxed Hf3RePb crystal.

Cell: 5.1784 5.1784 5.1784 Å, 90.00 90.00 90.00°
Space group Pm-3m (No. 221)
Unique sites:
1 Hf 0.0000 0.0000 0.5000 x3
2 Re 0.5000 0.5000 0.5000 x1
3 Pb 0.0000 0.0000 0.0000 x1

- V: 27.8 A^3/atom

*a* has the most favorable energy; the next structure is 149.7 kJ/mol of atoms above.

*a*
DFT (PBE) results for a relaxed HfRePb2 crystal.

Cell: 7.9961 7.9961 5.9317 Å, 90.00 90.00 90.00°
Space group I-42d (No. 122)
Unique sites:
1 Hf 0.0000 0.0000 0.0000 x4
2 Re 0.0000 0.0000 0.5000 x4
3 Pb 0.2249 0.2500 0.6250 x8

- V: 23.7 A^3/atom

*b*
DFT (PBE) results for a relaxed HfRePb2 crystal.

Cell: 6.9407 6.9407 6.9407 Å, 90.00 90.00 90.00°
Space group Fm-3m (No. 225)
Unique sites:
1 Hf 0.0000 0.0000 0.0000 x4
2 Re 0.0000 0.0000 0.5000 x4
3 Pb 0.2500 0.2500 0.2500 x8

- V: 20.9 A^3/atom

*b* has the most favorable energy; the next structure is 24.9 kJ/mol of atoms above.

*a*
DFT (PBE) results for a relaxed HfRePb3 crystal.

Cell: 5.5930 5.5930 5.5930 Å, 90.00 90.00 90.00°
Space group Pm-3m (No. 221)
Unique sites:
1 Hf 0.0000 0.0000 0.0000 x1
2 Re 0.5000 0.5000 0.5000 x1
3 Pb 0.0000 0.0000 0.5000 x3

- V: 35.0 A^3/atom

*b*
DFT (PBE) results for a relaxed HfRePb3 crystal.

Cell: 5.2978 5.2978 5.2978 Å, 90.00 90.00 90.00°
Space group Pm-3m (No. 221)
Unique sites:
1 Hf 0.0000 0.0000 0.0000 x1
2 Re 0.5000 0.5000 0.5000 x1
3 Pb 0.0000 0.5000 0.5000 x3

- V: 29.7 A^3/atom

*b* has the most favorable energy; the next structure is 41.6 kJ/mol of atoms above.

*a*
DFT (PBE) results for a relaxed HfRhPb2 crystal.

Cell: 7.0131 7.0131 7.0131 Å, 90.00 90.00 90.00°
Space group Fm-3m (No. 225)
Unique sites:
1 Hf 0.0000 0.0000 0.0000 x4
2 Rh 0.0000 0.0000 0.5000 x4
3 Pb 0.2500 0.2500 0.2500 x8

- V: 21.6 A^3/atom

*b*
DFT (PBE) results for a relaxed HfRhPb2 crystal.

Cell: 4.2978 4.2978 20.4892 Å, 90.00 90.00 90.00°
Space group I-42d (No. 122)
Unique sites:
1 Hf 0.0000 0.0000 0.0000 x4
2 Rh 0.0000 0.0000 0.5000 x4
3 Pb 0.2408 0.2500 0.6250 x8

- V: 23.7 A^3/atom

*a* has the most favorable energy; the next structure is 6.4 kJ/mol of atoms above.

*a*
DFT (PBE) results for a relaxed HfRuPb3 crystal.

Cell: 5.2194 5.2194 5.2194 Å, 90.00 90.00 90.00°
Space group Pm-3m (No. 221)
Unique sites:
1 Hf 0.0000 0.0000 0.0000 x1
2 Ru 0.5000 0.5000 0.5000 x1
3 Pb 0.0000 0.5000 0.5000 x3

- V: 28.4 A^3/atom

*b*
DFT (PBE) results for a relaxed HfRuPb3 crystal.

Cell: 5.5616 5.5616 5.5616 Å, 90.00 90.00 90.00°
Space group Pm-3m (No. 221)
Unique sites:
1 Hf 0.0000 0.0000 0.0000 x1
2 Ru 0.5000 0.5000 0.5000 x1
3 Pb 0.0000 0.0000 0.5000 x3

- V: 34.4 A^3/atom

*a* has the most favorable energy; the next structure is 45.6 kJ/mol of atoms above.

*a*
DFT (PBE) results for a relaxed HfRuPb2 crystal.

Cell: 4.2355 4.2355 20.8069 Å, 90.00 90.00 90.00°
Space group I-42d (No. 122)
Unique sites:
1 Hf 0.0000 0.0000 0.0000 x4
2 Ru 0.0000 0.0000 0.5000 x4
3 Pb 0.2427 0.2500 0.6250 x8

- V: 23.3 A^3/atom

*b*
DFT (PBE) results for a relaxed HfRuPb2 crystal.

Cell: 6.9600 6.9600 6.9600 Å, 90.00 90.00 90.00°
Space group Fm-3m (No. 225)
Unique sites:
1 Hf 0.0000 0.0000 0.0000 x4
2 Ru 0.0000 0.0000 0.5000 x4
3 Pb 0.2500 0.2500 0.2500 x8

- V: 21.1 A^3/atom

*b* has the most favorable energy; the next structure is 10.3 kJ/mol of atoms above.

*a*
DFT (PBE) results for a relaxed HfPbS3 crystal.

Cell: 8.1198 3.7282 8.1307 Å, 90.00 108.88 90.00°
Space group Pm (No. 6)
Unique sites:
1 Hf 0.0000 0.0000 0.0000 x1
2 Hf 0.4999 0.0000 0.4997 x1
3 Pb 0.9996 0.0000 0.4995 x1
4 Pb 0.4986 0.5000 0.9981 x1
5 S 0.0671 0.5000 0.8175 x1
6 S 0.3170 0.5000 0.5667 x1
7 S 0.3242 0.0000 0.1756 x1
8 S 0.6753 0.0000 0.8240 x1
9 S 0.6826 0.5000 0.4331 x1
10 S 0.9322 0.5000 0.1821 x1

- V: 23.3 A^3/atom

*b*
DFT (PBE) results for a relaxed HfPbS3 crystal.

Cell: 5.0251 5.0251 5.0251 Å, 90.00 90.00 90.00°
Space group Pm-3m (No. 221)
Unique sites:
1 Hf 0.0000 0.0000 0.0000 x1
2 Pb 0.5000 0.5000 0.5000 x1
3 S 0.0000 0.5000 0.5000 x3

- V: 25.4 A^3/atom

*c*
DFT (PBE) results for a relaxed HfPbS3 crystal.

Cell: 4.9537 4.9537 4.9537 Å, 90.00 90.00 90.00°
Space group Pm-3m (No. 221)
Unique sites:
1 Hf 0.0000 0.0000 0.0000 x1
2 Pb 0.5000 0.5000 0.5000 x1
3 S 0.0000 0.0000 0.5000 x3

- V: 24.3 A^3/atom

*d*
DFT (PBE) results for a relaxed HfPbS3 crystal.

Cell: 9.2580 3.7735 14.1479 Å, 90.00 90.00 90.00°
Space group Pnma (No. 62)
Unique sites:
1 Hf 0.1626 0.2500 0.0486 x4
2 Pb 0.0301 0.2500 0.6716 x4
3 S 0.0104 0.2500 0.8963 x4
4 S 0.1745 0.2500 0.4903 x4
5 S 0.2346 0.7500 0.7125 x4

- V: 24.7 A^3/atom

*d* has the most favorable energy; the next structure is 9.6 kJ/mol of atoms above.

*a*
DFT (PBE) results for a relaxed HfPb3S crystal.

Cell: 5.3753 5.3753 5.3753 Å, 90.00 90.00 90.00°
Space group Pm-3m (No. 221)
Unique sites:
1 Hf 0.0000 0.0000 0.0000 x1
2 Pb 0.0000 0.5000 0.5000 x3
3 S 0.5000 0.5000 0.5000 x1

- V: 31.1 A^3/atom

*b*
DFT (PBE) results for a relaxed HfPb3S crystal.

Cell: 5.6538 5.6538 5.6538 Å, 90.00 90.00 90.00°
Space group Pm-3m (No. 221)
Unique sites:
1 Hf 0.0000 0.0000 0.0000 x1
2 Pb 0.0000 0.0000 0.5000 x3
3 S 0.5000 0.5000 0.5000 x1

- V: 36.1 A^3/atom

*a* has the most favorable energy; the next structure is 3.3 kJ/mol of atoms above.